A PBEsol-optimized structure of SmTm3, computed with meta-GGA SCAN.

Calculated values
Crystal system: cubic
Calculated volume (Å³ per cell): 116
Magnetization (μB per cell): 0.0
Symmetry: Pm-3m
E_form (meV per atom): 27
Energy above the most stable polymorph in this dataset (eV per formula unit): 0.08

Cell: 4.879 4.879 4.879 Å, 90.00 90.00 90.00°
Element x y z (fractional)
1 Sm 0.000 0.000 0.000
2 Tm 0.000 0.500 0.500
3 Tm 0.500 0.000 0.500
4 Tm 0.500 0.500 0.000